Record 1
YCoCl: relaxed, PBE.

Cell: 6.5837 6.5837 6.5837 Å, 90.00 90.00 90.00°
Space group F-43m (No. 216)
Symmetry-distinct sites (fractional):
Y  0.0000  0.0000  0.0000
Co  0.2500  0.2500  0.7500
Cl  0.2500  0.2500  0.2500

Summary:
- DFT total energy (eV/atom) = -5.180

***

Record 2
YCoCl2: relaxed, PBE.

Cell: 4.5197 4.5197 15.7978 Å, 90.00 90.00 90.00°
Space group I-42d (No. 122)
Symmetry-distinct sites (fractional):
Y  0.0000  0.0000  0.0000
Co  0.0000  0.0000  0.5000
Cl  0.2111  0.2500  0.6250

Summary:
- energy above the most stable polymorph in this dataset (meV/atom) = 369

***

Record 3
YCoCl: relaxed, PBE.

Cell: 3.3053 3.3053 12.3354 Å, 90.00 90.00 90.00°
Space group I4mm (No. 107)
Symmetry-distinct sites (fractional):
Y  0.0000  0.0000  0.0000
Co  0.0000  0.0000  0.3683
Cl  0.0000  0.0000  0.6459

Summary:
- DFT total energy (eV/atom) = -5.485

***

Record 4
YCo3Cl: relaxed, PBE.

Cell: 4.8848 4.8848 4.8848 Å, 90.00 90.00 90.00°
Space group Pm-3m (No. 221)
Symmetry-distinct sites (fractional):
Y  0.0000  0.0000  0.0000
Co  0.0000  0.0000  0.5000
Cl  0.5000  0.5000  0.5000

Summary:
- energy above the most stable polymorph in this dataset (meV/atom) = 1346

***

Record 5
YCoCl2: relaxed, PBE.

Cell: 13.7784 3.6404 4.1415 Å, 90.00 90.40 90.00°
Space group C2/m (No. 12)
Symmetry-distinct sites (fractional):
Y  0.0000  0.0000  0.0000
Co  0.0000  0.5000  0.5000
Cl  0.1363  0.5000  0.2372

Summary:
- energy above the most stable polymorph in this dataset (meV/atom) = 0

***

Record 6
YCoCl2: relaxed, PBE.

Cell: 6.9127 6.9127 6.9127 Å, 90.00 90.00 90.00°
Space group F-43m (No. 216)
Symmetry-distinct sites (fractional):
Y  0.0000  0.0000  0.0000
Co  0.2500  0.2500  0.7500
Cl  0.0000  0.0000  0.5000
Cl  0.2500  0.2500  0.2500

Summary:
- energy above the most stable polymorph in this dataset (meV/atom) = 675

***

Record 7
Zn3CoCl: relaxed, PBE.

Cell: 4.7032 4.7032 4.7032 Å, 90.00 90.00 90.00°
Space group Pm-3m (No. 221)
Symmetry-distinct sites (fractional):
Zn  0.0000  0.0000  0.5000
Co  0.0000  0.0000  0.0000
Cl  0.5000  0.5000  0.5000

Summary:
- energy above the most stable polymorph in this dataset (meV/atom) = 0

***

Record 8
Zn3CoCl: relaxed, PBE.

Cell: 4.7841 4.7841 4.7841 Å, 90.00 90.00 90.00°
Space group Pm-3m (No. 221)
Symmetry-distinct sites (fractional):
Zn  0.0000  0.0000  0.5000
Co  0.5000  0.5000  0.5000
Cl  0.0000  0.0000  0.0000

Summary:
- energy above the most stable polymorph in this dataset (meV/atom) = 765

***

Record 9
ZnCo3Cl: relaxed, PBE.

Cell: 4.0865 4.0865 4.0865 Å, 90.00 90.00 90.00°
Space group Pm-3m (No. 221)
Symmetry-distinct sites (fractional):
Zn  0.0000  0.0000  0.0000
Co  0.0000  0.5000  0.5000
Cl  0.5000  0.5000  0.5000

Summary:
- energy above the most stable polymorph in this dataset (meV/atom) = 0

***

Record 10
ZnCo3Cl: relaxed, PBE.

Cell: 4.4926 4.4926 4.4926 Å, 90.00 90.00 90.00°
Space group Pm-3m (No. 221)
Symmetry-distinct sites (fractional):
Zn  0.0000  0.0000  0.0000
Co  0.0000  0.0000  0.5000
Cl  0.5000  0.5000  0.5000

Summary:
- energy above the most stable polymorph in this dataset (meV/atom) = 552

***

Record 11
ZnCoCl6: relaxed, PBE.

Cell: 6.1898 11.9077 6.2201 Å, 90.00 114.11 90.00°
Space group C2/m (No. 12)
Symmetry-distinct sites (fractional):
Zn  0.0000  0.0000  0.0000
Co  0.0000  0.5000  0.5000
Cl  0.2177  0.5000  0.2968
Cl  0.2387  0.3670  0.7437

Summary:
- DFT total energy (eV/atom) = -3.019

***

Record 12
Zn2CoCl2: relaxed, PBE.

Cell: 6.7887 6.7887 4.3363 Å, 90.00 90.00 90.00°
Space group P4/mbm (No. 127)
Symmetry-distinct sites (fractional):
Zn  0.1289  0.3711  0.0000
Co  0.0000  0.0000  0.0000
Cl  0.2417  0.7417  0.5000

Summary:
- energy above the most stable polymorph in this dataset (meV/atom) = 0

***

Record 13
ZnCo2Cl6: relaxed, PBE.

Cell: 13.2573 13.7092 6.2589 Å, 90.00 114.29 90.00°
Space group C2/c (No. 15)
Symmetry-distinct sites (fractional):
Zn  0.0000  0.2189  0.2500
Co  0.2288  0.4202  0.3628
Cl  0.0955  0.1194  0.5676
Cl  0.1111  0.3076  0.1225
Cl  0.1945  0.4324  0.6873

Summary:
- DFT total energy (eV/atom) = -3.696

***

Record 14
Zn2CoCl6: relaxed, PBE.

Cell: 13.4203 13.7366 6.3436 Å, 90.00 115.16 90.00°
Space group C2/c (No. 15)
Symmetry-distinct sites (fractional):
Zn  0.2324  0.0801  0.3842
Co  0.0000  0.2756  0.2500
Cl  0.0955  0.3696  0.5658
Cl  0.1068  0.1864  0.1270
Cl  0.2072  0.0734  0.7196

Summary:
- DFT total energy (eV/atom) = -3.241

***

Record 15
Zn2CoCl2: relaxed, PBE.

Cell: 4.3352 4.3352 10.7728 Å, 90.00 90.00 90.00°
Space group I4/mmm (No. 139)
Symmetry-distinct sites (fractional):
Zn  0.0000  0.0000  0.1109
Co  0.0000  0.0000  0.5000
Cl  0.0000  0.5000  0.2500

Summary:
- energy above the most stable polymorph in this dataset (meV/atom) = 66

***

Record 16
Zn2CoCl8: relaxed, PBE.

Cell: 9.8799 10.9804 5.9501 Å, 90.00 92.39 90.00°
Space group C2/m (No. 12)
Symmetry-distinct sites (fractional):
Zn  0.2096  0.0000  0.0889
Co  0.0000  0.0000  0.5000
Cl  0.0699  0.5000  0.8019
Cl  0.0855  0.1456  0.2773
Cl  0.2008  0.0000  0.7039

Summary:
- DFT total energy (eV/atom) = -2.945

***

Record 17
ZrCoCl2: relaxed, PBE.

Cell: 3.3352 3.8810 12.9510 Å, 90.00 90.00 90.00°
Space group Imm2 (No. 44)
Symmetry-distinct sites (fractional):
Zr  0.0000  0.0000  0.0000
Co  0.0000  0.5000  0.3695
Cl  0.0000  0.0000  0.6024
Cl  0.0000  0.5000  0.8581

Summary:
- energy above the most stable polymorph in this dataset (meV/atom) = 299

***

Record 18
Zr3CoCl: relaxed, PBE.

Cell: 4.8982 4.8982 4.8982 Å, 90.00 90.00 90.00°
Space group Pm-3m (No. 221)
Symmetry-distinct sites (fractional):
Zr  0.0000  0.0000  0.5000
Co  0.0000  0.0000  0.0000
Cl  0.5000  0.5000  0.5000

Summary:
- energy above the most stable polymorph in this dataset (meV/atom) = 0

***

Record 19
Zr2CoCl: relaxed, PBE.

Cell: 6.2797 7.1694 3.0647 Å, 90.00 90.00 90.00°
Space group Cmmm (No. 65)
Symmetry-distinct sites (fractional):
Zr  0.2500  0.2500  0.0000
Co  0.0000  0.0000  0.5000
Cl  0.0000  0.5000  0.5000

Summary:
- energy above the most stable polymorph in this dataset (meV/atom) = 406

***

Record 20
Zr2CoCl: relaxed, PBE.

Cell: 3.2752 3.3787 14.3490 Å, 90.00 90.00 90.00°
Space group Imm2 (No. 44)
Symmetry-distinct sites (fractional):
Zr  0.0000  0.0000  0.0000
Zr  0.0000  0.5000  0.2975
Co  0.0000  0.0000  0.4272
Cl  0.0000  0.5000  0.6815

Summary:
- energy above the most stable polymorph in this dataset (meV/atom) = 145

***

Record 21
ZrCoCl2: relaxed, PBE.

Cell: 3.3142 3.3142 6.0036 Å, 90.00 90.00 90.00°
Space group P4/mmm (No. 123)
Symmetry-distinct sites (fractional):
Zr  0.0000  0.0000  0.0000
Co  0.0000  0.0000  0.5000
Cl  0.5000  0.5000  0.2435

Summary:
- energy above the most stable polymorph in this dataset (meV/atom) = 686

***

Record 22
Zr2CoCl: relaxed, PBE.

Cell: 6.4902 7.2658 3.0746 Å, 90.00 105.59 90.00°
Space group C2/m (No. 12)
Symmetry-distinct sites (fractional):
Zr  0.2500  0.2500  0.0000
Co  0.0000  0.0000  0.5000
Cl  0.0000  0.5000  0.5000

Summary:
- energy above the most stable polymorph in this dataset (meV/atom) = 346

***

Record 23
ZrCo2Cl2: relaxed, PBE.

Cell: 3.6330 3.6330 11.1324 Å, 90.00 90.00 90.00°
Space group I4/mmm (No. 139)
Symmetry-distinct sites (fractional):
Zr  0.0000  0.0000  0.0000
Co  0.0000  0.5000  0.2500
Cl  0.0000  0.0000  0.3751

Summary:
- energy above the most stable polymorph in this dataset (meV/atom) = 109

***

Record 24
Zr2CoCl: relaxed, PBE.

Cell: 3.0796 3.2232 7.7299 Å, 90.00 90.00 90.00°
Space group Pmmm (No. 47)
Symmetry-distinct sites (fractional):
Zr  0.0000  0.0000  0.2065
Co  0.5000  0.5000  0.0000
Cl  0.5000  0.0000  0.5000

Summary:
- energy above the most stable polymorph in this dataset (meV/atom) = 63

***

Record 25
ZrCoCl2: relaxed, PBE.

Cell: 6.4862 6.4862 6.4862 Å, 90.00 90.00 90.00°
Space group F-43m (No. 216)
Symmetry-distinct sites (fractional):
Zr  0.0000  0.0000  0.0000
Co  0.2500  0.2500  0.2500
Cl  0.0000  0.0000  0.5000
Cl  0.2500  0.2500  0.7500

Summary:
- energy above the most stable polymorph in this dataset (meV/atom) = 805

***

Record 26
ZrCo2Cl: relaxed, PBE.

Cell: 3.4292 3.4292 5.4272 Å, 90.00 90.00 90.00°
Space group P4/mmm (No. 123)
Symmetry-distinct sites (fractional):
Zr  0.0000  0.0000  0.0000
Co  0.5000  0.5000  0.2147
Cl  0.0000  0.0000  0.5000

Summary:
- energy above the most stable polymorph in this dataset (meV/atom) = 275

***

Record 27
ZrCoCl2: relaxed, PBE.

Cell: 3.1821 3.1821 31.3012 Å, 90.00 90.00 120.00°
Space group R-3m (No. 166, hexagonal axes)
Symmetry-distinct sites (fractional):
Zr  0.0000  0.0000  0.0000
Co  0.0000  0.0000  0.5000
Cl  0.0000  0.0000  0.2739

Summary:
- energy above the most stable polymorph in this dataset (meV/atom) = 442